Here is a relaxed CrCdO crystal from Alexandria. Energies are from PBE+U.

Unit cell a=2.855 b=2.810 c=24.581 alpha=90.00 beta=90.06 gamma=90.00
Last column: magnetic moment on the atom in μB.
Fractional positions:
Cd: 0.006 0.500 0.687  0.00
Cr: 0.497 0.500 0.958  0.94
Cr: 0.497 0.000 0.458  0.94
O: 0.996 0.500 0.441  0.02
Cd: 0.006 0.000 0.187  0.00
Cr: 0.503 0.500 0.042  0.94
O: 0.004 0.500 0.559  0.02
Cr: 0.503 0.000 0.542  0.94
Cd: 0.994 0.500 0.313  0.00
Cd: 0.994 0.000 0.813  0.00
O: 0.004 0.000 0.059  0.02
O: 0.996 0.000 0.941  0.02

## Properties
DOS(E_F): 0.254 states/eV per atom
Energy above the most stable polymorph in this dataset: 1.75 eV per formula unit
Space-group type: C2/m, No. 12
Total magnetization: 3.882 μB/cell